# 1
VASP calculation (GGA-PBE) on a geometry-optimized CeZnIrRh structure.

Calculated values
calculated volume	70.66	Å³ per cell
mass density	11.76	g/cm³
M_tot	0.0	Bohr magnetons per cell
ΔH_f (0 K)	-514.0	meV/atom
space group	F-43m (216)

abc: 4.6406 4.6406 4.6406
angles: 60.00 60.00 60.00
Atoms (fractional coordinates):
Rh  0.7500  0.7500  0.7500
Ce  0.5000  0.5000  0.5000
Zn  0.0000  0.0000  0.0000
Ir  0.2500  0.2500  0.2500

# 2
VASP calculation (GGA-PBE) on a geometry-optimized InRhSe3 structure.

Calculated values
calculated volume	121.26	Å³ per cell
mass density	6.23	g/cm³
M_tot	0.0	Bohr magnetons per cell
uncorrected formation energy	0.70	eV per formula unit
space group	Pm-3m (221)

abc: 4.9496 4.9496 4.9496
angles: 90.00 90.00 90.00
Atoms (fractional coordinates):
Se  0.0000  0.5000  0.0000
Se  0.5000  0.0000  0.0000
Se  0.0000  0.0000  0.5000
Rh  0.0000  0.0000  0.0000
In  0.5000  0.5000  0.5000

| no. | DOS(E_F) (states/eV/f.u.) |
| --- | --- |
| 1 | 2.59 |
| 2 | 7.76 |